Entry 1:
Here is an optimized crystal structure of Ir2RhC from Alexandria via LeMat-Bulk. Energies are from PBE.

Calculated values
Final energy = -8.08 eV per atom
V = 13.2 Å³/atom
DFT formation energy = 1.96 eV/f.u.
DOS at the Fermi energy = 9.8 states/eV/cell

CIF file:
```
data_Ir2RhC
_chemical_formula_sum 'Ir4 Rh2 C2'
_space_group_name_H-M_alt 'P 1'
_space_group_IT_number 1
_cell_length_a 6.433
_cell_length_b 6.433
_cell_length_c 5.214
_cell_angle_alpha 51.91
_cell_angle_beta 51.91
_cell_angle_gamma 90.00
loop_
_space_group_symop_operation_xyz
'x,y,z'
loop_
_atom_site_label
_atom_site_fract_x
_atom_site_fract_y
_atom_site_fract_z
C1 0.500 0.500 0.000
C2 0.250 0.750 0.500
Ir1 0.533 0.125 0.250
Ir2 0.217 0.625 0.250
Ir3 0.375 0.467 0.750
Ir4 0.875 0.783 0.750
Rh1 0.000 0.000 0.000
Rh2 0.750 0.250 0.500
```

---

Entry 2:
Here is an optimized crystal structure of KOsSeBr2 from Alexandria via LeMat-Bulk. Energies are from PBE.

Calculated values
Final energy = -4.10 eV per atom
V = 27.8 Å³/atom
ΔE to the lowest computed polymorph = 0 meV per atom
DOS at the Fermi energy = 4.3 states/eV/cell

CIF file:
```
data_KOsSeBr2
_chemical_formula_sum 'K1 Os1 Se1 Br2'
_space_group_name_H-M_alt 'P 1'
_space_group_IT_number 1
_cell_length_a 5.468
_cell_length_b 5.468
_cell_length_c 4.651
_cell_angle_alpha 90.00
_cell_angle_beta 90.00
_cell_angle_gamma 90.00
loop_
_space_group_symop_operation_xyz
'x,y,z'
loop_
_atom_site_label
_atom_site_fract_x
_atom_site_fract_y
_atom_site_fract_z
K1 0.500 0.500 0.500
Os1 0.000 0.000 0.000
Se1 0.000 0.000 0.500
Br1 0.000 0.500 0.000
Br2 0.500 0.000 0.000
```

---

Entry 3:
Here is an optimized crystal structure of Mg2HgRh from Alexandria via LeMat-Bulk. Energies are from PBE.

Calculated values
Final energy = -2.60 eV per atom
V = 23.3 Å³/atom
DFT formation energy = 0.44 eV/f.u.
DOS at the Fermi energy = 1.8 states/eV/cell

CIF file:
```
data_Mg2HgRh
_chemical_formula_sum 'Mg2 Hg1 Rh1'
_space_group_name_H-M_alt 'P 1'
_space_group_IT_number 1
_cell_length_a 7.342
_cell_length_b 7.342
_cell_length_c 7.342
_cell_angle_alpha 43.42
_cell_angle_beta 156.16
_cell_angle_gamma 144.26
loop_
_space_group_symop_operation_xyz
'x,y,z'
loop_
_atom_site_label
_atom_site_fract_x
_atom_site_fract_y
_atom_site_fract_z
Mg1 0.000 0.184 0.184
Mg2 0.000 0.816 0.816
Hg1 0.000 0.500 0.500
Rh1 0.000 0.000 0.000
```

---

Entry 4:
Here is an optimized crystal structure of MgSnPO2 from Alexandria via LeMat-Bulk. Energies are from PBE.

Calculated values
Final energy = -4.75 eV per atom
V = 17.3 Å³/atom
ΔE to the lowest computed polymorph = 0 meV per atom
DOS at the Fermi energy = 5.2 states/eV/cell

CIF file:
```
data_MgSnPO2
_chemical_formula_sum 'Mg1 Sn1 P1 O2'
_space_group_name_H-M_alt 'P 1'
_space_group_IT_number 1
_cell_length_a 3.979
_cell_length_b 3.979
_cell_length_c 5.470
_cell_angle_alpha 90.00
_cell_angle_beta 90.00
_cell_angle_gamma 90.00
loop_
_space_group_symop_operation_xyz
'x,y,z'
loop_
_atom_site_label
_atom_site_fract_x
_atom_site_fract_y
_atom_site_fract_z
P1 0.000 0.000 0.500
Mg1 0.500 0.500 0.500
Sn1 0.000 0.000 0.000
O1 0.000 0.500 0.000
O2 0.500 0.000 0.000
```